Record 1
The following is a PBE-GGA calculation of a relaxed structure of SrAg2Au, from Alexandria.

Cell: 8.273 4.777 5.790 Å, 90.00 118.53 90.00°
Element x y z (fractional)
Sr: 0.000 0.000 0.000
Sr: 0.500 0.500 0.000
Ag: 0.000 0.500 0.499
Ag: 0.207 0.000 0.622
Ag: 0.500 0.000 0.499
Ag: 0.707 0.500 0.622
Au: 0.290 0.500 0.370
Au: 0.790 0.000 0.370

Results
SG   Cm, No. 8
ΔH_f (0 K)   -0.34 eV per atom

=====

Record 2
The following is a PBE-GGA calculation of a relaxed structure of Sr2Ag15Au2, from Alexandria.

Cell: 7.382 7.382 7.382 Å, 82.69 82.69 82.69°
Element x y z (fractional)
Sr: 0.164 0.164 0.164
Sr: 0.836 0.836 0.836
Ag: 0.000 0.500 0.500
Ag: 0.153 0.153 0.654
Ag: 0.153 0.654 0.153
Ag: 0.202 0.500 0.798
Ag: 0.202 0.798 0.500
Ag: 0.346 0.847 0.847
Ag: 0.500 0.000 0.500
Ag: 0.500 0.202 0.798
Ag: 0.500 0.500 0.000
Ag: 0.500 0.798 0.202
Ag: 0.654 0.153 0.153
Ag: 0.798 0.202 0.500
Ag: 0.798 0.500 0.202
Ag: 0.847 0.346 0.847
Ag: 0.847 0.847 0.346
Au: 0.399 0.399 0.399
Au: 0.601 0.601 0.601

Results
SG   R-3m, No. 166
ΔH_f (0 K)   -0.12 eV per atom

=====

Record 3
The following is a PBE-GGA calculation of a relaxed structure of Sr2Ag3Au2, from Alexandria.

Cell: 10.706 4.656 7.313 Å, 90.00 109.83 90.00°
Element x y z (fractional)
Sr: 0.140 0.000 0.267
Sr: 0.360 0.500 0.733
Sr: 0.640 0.500 0.267
Sr: 0.860 0.000 0.733
Ag: 0.000 0.500 0.500
Ag: 0.112 0.500 0.929
Ag: 0.388 0.000 0.071
Ag: 0.500 0.000 0.500
Ag: 0.612 0.000 0.929
Ag: 0.888 0.500 0.071
Au: 0.151 0.000 0.718
Au: 0.349 0.500 0.282
Au: 0.651 0.500 0.718
Au: 0.849 0.000 0.282

Results
SG   C2/m, No. 12
ΔH_f (0 K)   -0.44 eV per atom

=====

Record 4
The following is a PBE-GGA calculation of a relaxed structure of Sr4AgAu, from Alexandria.

Cell: 7.779 7.779 7.786 Å, 90.00 90.07 90.00°
Element x y z (fractional)
Sr: 0.250 0.250 0.245
Sr: 0.250 0.250 0.755
Sr: 0.250 0.750 0.245
Sr: 0.250 0.750 0.755
Sr: 0.750 0.250 0.245
Sr: 0.750 0.250 0.755
Sr: 0.750 0.750 0.245
Sr: 0.750 0.750 0.755
Ag: 0.000 0.000 0.500
Ag: 0.500 0.500 0.500
Au: 0.000 0.500 0.000
Au: 0.500 0.000 0.000

Results
Energy relative to the lowest polymorph listed for this composition   0.0 meV per atom
SG   C2/m, No. 12
ΔH_f (0 K)   -0.32 eV per atom

=====

Record 5
The following is a PBE-GGA calculation of a relaxed structure of Sr3Ag9Au2, from Alexandria.

Cell: 8.915 8.915 8.915 Å, 149.42 112.64 75.77°
Element x y z (fractional)
Sr: 0.000 0.000 0.000
Sr: 0.317 0.317 0.000
Sr: 0.683 0.683 0.000
Ag: 0.038 0.682 0.356
Ag: 0.154 0.878 0.275
Ag: 0.325 0.682 0.644
Ag: 0.397 0.122 0.275
Ag: 0.500 0.000 0.500
Ag: 0.603 0.878 0.725
Ag: 0.675 0.318 0.356
Ag: 0.846 0.122 0.725
Ag: 0.962 0.318 0.644
Au: 0.280 0.500 0.780
Au: 0.720 0.500 0.220

Results
SG   Immm, No. 71
ΔH_f (0 K)   -0.25 eV per atom

=====

Record 6
The following is a PBE-GGA calculation of a relaxed structure of Sr4Ag3Au, from Alexandria.

Cell: 4.494 4.729 11.916 Å, 90.00 90.00 90.00°
Element x y z (fractional)
Sr: 0.000 0.000 0.000
Sr: 0.000 0.500 0.274
Sr: 0.500 0.000 0.491
Sr: 0.500 0.500 0.775
Ag: 0.000 0.000 0.707
Ag: 0.000 0.500 0.563
Ag: 0.500 0.500 0.062
Au: 0.500 0.000 0.211

Results
SG   Pmm2, No. 25
ΔH_f (0 K)   -0.43 eV per atom

=====

Record 7
The following is a PBE-GGA calculation of a relaxed structure of SrAg2Au, from Alexandria.

Cell: 4.657 10.719 7.636 Å, 90.00 90.00 90.00°
Element x y z (fractional)
Sr: 0.000 0.079 0.250
Sr: 0.000 0.921 0.750
Sr: 0.500 0.421 0.750
Sr: 0.500 0.579 0.250
Ag: 0.000 0.372 0.060
Ag: 0.000 0.372 0.440
Ag: 0.000 0.628 0.560
Ag: 0.000 0.628 0.940
Ag: 0.500 0.128 0.560
Ag: 0.500 0.128 0.940
Ag: 0.500 0.872 0.060
Ag: 0.500 0.872 0.440
Au: 0.000 0.214 0.750
Au: 0.000 0.786 0.250
Au: 0.500 0.286 0.250
Au: 0.500 0.714 0.750

Results
SG   Cmcm, No. 63
ΔH_f (0 K)   -0.38 eV per atom

=====

Record 8
The following is a PBE-GGA calculation of a relaxed structure of Sr2Ag2Au15, from Alexandria.

Cell: 7.374 7.374 7.374 Å, 82.23 82.23 82.23°
Element x y z (fractional)
Sr: 0.159 0.159 0.159
Sr: 0.841 0.841 0.841
Ag: 0.403 0.403 0.403
Ag: 0.597 0.597 0.597
Au: 0.000 0.500 0.500
Au: 0.150 0.150 0.655
Au: 0.150 0.655 0.150
Au: 0.198 0.500 0.802
Au: 0.198 0.802 0.500
Au: 0.345 0.850 0.850
Au: 0.500 0.000 0.500
Au: 0.500 0.198 0.802
Au: 0.500 0.500 0.000
Au: 0.500 0.802 0.198
Au: 0.655 0.150 0.150
Au: 0.802 0.198 0.500
Au: 0.802 0.500 0.198
Au: 0.850 0.345 0.850
Au: 0.850 0.850 0.345

Results
SG   R-3m, No. 166
ΔH_f (0 K)   -0.28 eV per atom

=====

Record 9
The following is a PBE-GGA calculation of a relaxed structure of SrAg2Au, from Alexandria.

Cell: 7.159 7.159 7.159 Å, 90.00 90.00 90.00°
Element x y z (fractional)
Sr: 0.000 0.000 0.000
Sr: 0.000 0.500 0.500
Sr: 0.500 0.000 0.500
Sr: 0.500 0.500 0.000
Ag: 0.250 0.250 0.250
Ag: 0.250 0.250 0.750
Ag: 0.250 0.750 0.250
Ag: 0.250 0.750 0.750
Ag: 0.750 0.250 0.250
Ag: 0.750 0.250 0.750
Ag: 0.750 0.750 0.250
Ag: 0.750 0.750 0.750
Au: 0.000 0.000 0.500
Au: 0.000 0.500 0.000
Au: 0.500 0.000 0.000
Au: 0.500 0.500 0.500

Results
SG   Fm-3m, No. 225
ΔH_f (0 K)   -0.22 eV per atom

=====

Record 10
The following is a PBE-GGA calculation of a relaxed structure of SrAg2Au, from Alexandria.

Cell: 4.066 4.782 9.456 Å, 90.00 90.00 90.00°
Element x y z (fractional)
Sr: 0.000 0.000 0.000
Sr: 0.500 0.500 0.500
Ag: 0.000 0.500 0.230
Ag: 0.000 0.500 0.770
Ag: 0.500 0.000 0.270
Ag: 0.500 0.000 0.730
Au: 0.000 0.000 0.500
Au: 0.500 0.500 0.000

Results
SG   Immm, No. 71
ΔH_f (0 K)   -0.24 eV per atom

=====

Record 11
The following is a PBE-GGA calculation of a relaxed structure of Sr2AgAu7, from Alexandria.

Cell: 4.304 4.304 12.623 Å, 90.00 90.00 90.00°
Element x y z (fractional)
Sr: 0.000 0.500 0.246
Sr: 0.500 0.000 0.754
Ag: 0.000 0.000 0.500
Au: 0.000 0.000 0.000
Au: 0.000 0.500 0.644
Au: 0.000 0.500 0.855
Au: 0.500 0.000 0.145
Au: 0.500 0.000 0.356
Au: 0.500 0.500 0.000
Au: 0.500 0.500 0.500

Results
SG   P-4m2, No. 115
ΔH_f (0 K)   -0.44 eV per atom

=====

Record 12
The following is a PBE-GGA calculation of a relaxed structure of Sr5Ag2Au, from Alexandria.

Cell: 10.021 10.021 10.021 Å, 130.86 130.86 72.03°
Element x y z (fractional)
Sr: 0.000 0.000 0.000
Sr: 0.026 0.526 0.844
Sr: 0.182 0.026 0.500
Sr: 0.318 0.818 0.844
Sr: 0.474 0.318 0.500
Sr: 0.500 0.500 0.000
Sr: 0.526 0.682 0.500
Sr: 0.682 0.182 0.156
Sr: 0.818 0.974 0.500
Sr: 0.974 0.474 0.156
Ag: 0.121 0.379 0.500
Ag: 0.379 0.879 0.257
Ag: 0.621 0.121 0.743
Ag: 0.879 0.621 0.500
Au: 0.250 0.250 0.000
Au: 0.750 0.750 0.000

Results
SG   I4/mcm, No. 140
ΔH_f (0 K)   -0.36 eV per atom

=====

Record 13
The following is a PBE-GGA calculation of a relaxed structure of Sr2AgAu, from Alexandria.

Cell: 3.956 3.956 8.271 Å, 90.00 90.00 90.00°
Element x y z (fractional)
Sr: 0.000 0.000 0.000
Sr: 0.500 0.500 0.414
Ag: 0.000 0.000 0.622
Au: 0.500 0.500 0.802

Results
SG   P4mm, No. 99
ΔH_f (0 K)   -0.33 eV per atom

=====

Record 14
The following is a PBE-GGA calculation of a relaxed structure of SrAg2Au, from Alexandria.

Cell: 3.665 3.757 6.783 Å, 90.00 90.00 90.00°
Element x y z (fractional)
Sr: 0.000 0.000 0.000
Ag: 0.000 0.000 0.496
Ag: 0.500 0.500 0.686
Au: 0.500 0.500 0.270

Results
SG   Pmm2, No. 25
ΔH_f (0 K)   -0.26 eV per atom

=====

Record 15
The following is a PBE-GGA calculation of a relaxed structure of SrAg2Au, from Alexandria.

Cell: 3.948 4.897 5.453 Å, 90.00 90.08 90.00°
Element x y z (fractional)
Sr: 0.000 0.000 0.000
Ag: 0.499 0.500 0.752
Ag: 0.501 0.500 0.248
Au: 0.500 0.000 0.500

Results
SG   P2/m, No. 10
ΔH_f (0 K)   -0.27 eV per atom

=====

Record 16
The following is a PBE-GGA calculation of a relaxed structure of Sr2AgAu, from Alexandria.

Cell: 6.310 4.867 8.595 Å, 90.00 110.07 90.00°
Element x y z (fractional)
Sr: 0.218 0.250 0.433
Sr: 0.226 0.250 0.928
Sr: 0.774 0.750 0.072
Sr: 0.782 0.750 0.567
Ag: 0.348 0.750 0.213
Ag: 0.652 0.250 0.787
Au: 0.355 0.750 0.712
Au: 0.645 0.250 0.288

Results
SG   P2_1/m, No. 11
ΔH_f (0 K)   -0.55 eV per atom

=====

Record 17
The following is a PBE-GGA calculation of a relaxed structure of Sr4Ag5Au2, from Alexandria.

Cell: 7.610 4.516 8.814 Å, 90.00 91.10 90.00°
Element x y z (fractional)
Sr: 0.229 0.000 0.367
Sr: 0.241 0.000 0.893
Sr: 0.759 0.000 0.107
Sr: 0.771 0.000 0.633
Ag: 0.146 0.500 0.620
Ag: 0.459 0.500 0.164
Ag: 0.500 0.500 0.500
Ag: 0.541 0.500 0.836
Ag: 0.854 0.500 0.380
Au: 0.089 0.500 0.139
Au: 0.911 0.500 0.861

Results
SG   P2/m, No. 10
ΔH_f (0 K)   -0.40 eV per atom

=====

Record 18
The following is a PBE-GGA calculation of a relaxed structure of SrThAgAu, from Alexandria.

Cell: 7.557 7.557 7.557 Å, 90.00 90.00 90.00°
Element x y z (fractional)
Sr: 0.000 0.000 0.000
Sr: 0.000 0.500 0.500
Sr: 0.500 0.000 0.500
Sr: 0.500 0.500 0.000
Th: 0.000 0.000 0.500
Th: 0.000 0.500 0.000
Th: 0.500 0.000 0.000
Th: 0.500 0.500 0.500
Ag: 0.250 0.250 0.750
Ag: 0.250 0.750 0.250
Ag: 0.750 0.250 0.250
Ag: 0.750 0.750 0.750
Au: 0.250 0.250 0.250
Au: 0.250 0.750 0.750
Au: 0.750 0.250 0.750
Au: 0.750 0.750 0.250

Results
SG   F-43m, No. 216
ΔH_f (0 K)   -0.30 eV per atom

=====

Record 19
The following is a PBE-GGA calculation of a relaxed structure of Sr2TlAgAu6, from Alexandria.

Cell: 7.421 7.421 7.421 Å, 60.00 60.00 60.00°
Element x y z (fractional)
Sr: 0.250 0.250 0.250
Sr: 0.750 0.750 0.750
Tl: 0.000 0.000 0.000
Ag: 0.500 0.500 0.500
Au: 0.254 0.254 0.746
Au: 0.254 0.746 0.254
Au: 0.254 0.746 0.746
Au: 0.746 0.254 0.254
Au: 0.746 0.254 0.746
Au: 0.746 0.746 0.254

Results
SG   Fm-3m, No. 225
ΔH_f (0 K)   -0.09 eV per atom

=====

Record 20
The following is a PBE-GGA calculation of a relaxed structure of Sr3Tl2Ag2Au4, from Alexandria.

Cell: 4.851 4.851 14.890 Å, 90.00 90.00 120.00°
Element x y z (fractional)
Sr: 0.000 0.000 0.000
Sr: 0.000 0.000 0.265
Sr: 0.000 0.000 0.735
Tl: 0.333 0.667 0.571
Tl: 0.667 0.333 0.429
Ag: 0.333 0.667 0.144
Ag: 0.667 0.333 0.856
Au: 0.333 0.667 0.369
Au: 0.333 0.667 0.872
Au: 0.667 0.333 0.128
Au: 0.667 0.333 0.631

Results
SG   P-3m1, No. 164
ΔH_f (0 K)   -0.45 eV per atom

=====

Record 21
The following is a PBE-GGA calculation of a relaxed structure of Sr2TmAgAu6, from Alexandria.

Cell: 7.518 7.518 7.518 Å, 60.00 60.00 60.00°
Element x y z (fractional)
Sr: 0.250 0.250 0.250
Sr: 0.750 0.750 0.750
Tm: 0.000 0.000 0.000
Ag: 0.500 0.500 0.500
Au: 0.254 0.254 0.746
Au: 0.254 0.746 0.254
Au: 0.254 0.746 0.746
Au: 0.746 0.254 0.254
Au: 0.746 0.254 0.746
Au: 0.746 0.746 0.254

Results
SG   Fm-3m, No. 225
ΔH_f (0 K)   -0.23 eV per atom

=====

Record 22
The following is a PBE-GGA calculation of a relaxed structure of SrZnAgAu, from Alexandria.

Cell: 7.167 7.167 7.167 Å, 90.00 90.00 90.00°
Element x y z (fractional)
Sr: 0.000 0.000 0.000
Sr: 0.000 0.500 0.500
Sr: 0.500 0.000 0.500
Sr: 0.500 0.500 0.000
Zn: 0.250 0.250 0.250
Zn: 0.250 0.750 0.750
Zn: 0.750 0.250 0.750
Zn: 0.750 0.750 0.250
Ag: 0.000 0.000 0.500
Ag: 0.000 0.500 0.000
Ag: 0.500 0.000 0.000
Ag: 0.500 0.500 0.500
Au: 0.250 0.250 0.750
Au: 0.250 0.750 0.250
Au: 0.750 0.250 0.250
Au: 0.750 0.750 0.750

Results
Energy relative to the lowest polymorph listed for this composition   146.1 meV per atom
SG   F-43m, No. 216
ΔH_f (0 K)   -0.26 eV per atom

=====

Record 23
The following is a PBE-GGA calculation of a relaxed structure of SrZn3AgAu, from Alexandria.

Cell: 7.346 7.346 6.028 Å, 90.00 90.00 126.42°
Element x y z (fractional)
Sr: 0.222 0.778 0.750
Sr: 0.778 0.222 0.250
Zn: 0.189 0.189 0.000
Zn: 0.189 0.189 0.500
Zn: 0.347 0.653 0.250
Zn: 0.653 0.347 0.750
Zn: 0.811 0.811 0.000
Zn: 0.811 0.811 0.500
Ag: 0.455 0.545 0.750
Ag: 0.545 0.455 0.250
Au: 0.149 0.851 0.250
Au: 0.851 0.149 0.750

Results
SG   Cmcm, No. 63
ΔH_f (0 K)   -0.18 eV per atom

=====

Record 24
The following is a PBE-GGA calculation of a relaxed structure of SrZnAgAu, from Alexandria.

Cell: 7.980 4.628 5.929 Å, 90.00 116.92 90.00°
Element x y z (fractional)
Sr: 0.000 0.000 0.000
Sr: 0.500 0.500 0.000
Zn: 0.011 0.500 0.534
Zn: 0.511 0.000 0.534
Ag: 0.297 0.500 0.391
Ag: 0.797 0.000 0.391
Au: 0.206 0.000 0.618
Au: 0.706 0.500 0.618

Results
Energy relative to the lowest polymorph listed for this composition   0.0 meV per atom
SG   Cm, No. 8
ΔH_f (0 K)   -0.41 eV per atom